(1)
A plane-wave DFT calculation with GGA-PBE was carried out for a relaxed structure of Zn2FeOs.

total moment	7.268	μB/cell
E	-5.380	eV per atom
energy of formation	0.18	eV/atom

Cell: 3.715 3.715 7.900 Å, 90.00 90.00 90.00°
Space group I4/mmm (No. 139)
Inequivalent atoms, fractional coordinates:
Zn (0.000, 0.500, 0.250) (multiplicity 4)
Fe (0.000, 0.000, 0.000) (multiplicity 2)
Os (0.000, 0.000, 0.500) (multiplicity 2)

=====

(2)
A plane-wave DFT calculation with GGA-PBE was carried out for a relaxed structure of Rb3Nd2NpSe6.

E_form (uncorrected)	-1559	meV/atom
total moment	8.001	μB/cell
E	-5.416	eV per atom

Cell: 7.563 13.086 8.400 Å, 90.00 107.41 90.00°
Space group C2/m (No. 12)
Inequivalent atoms, fractional coordinates:
Rb (0.000, 0.000, 0.000) (multiplicity 2)
Rb (0.000, 0.332, 0.000) (multiplicity 4)
Nd (0.000, 0.166, 0.500) (multiplicity 4)
Np (0.000, 0.500, 0.500) (multiplicity 2)
Se (0.231, 0.336, 0.699) (multiplicity 8)
Se (0.238, 0.000, 0.700) (multiplicity 4)

=====

(3)
A plane-wave DFT calculation with GGA-PBE was carried out for a relaxed structure of CaTb4Si4.

E_form (uncorrected)	-481	meV/atom
total moment	0.000	μB/cell
E	-5.172	eV per atom

Cell: 9.343 9.343 5.769 Å, 90.00 90.00 90.00°
Space group P4_2/n (No. 86, origin choice 2)
Inequivalent atoms, fractional coordinates:
Ca (0.250, 0.250, 0.250) (multiplicity 2)
Tb (0.105, 0.637, 0.127) (multiplicity 8)
Si (0.047, 0.590, 0.633) (multiplicity 8)

=====

(4)
A plane-wave DFT calculation with GGA-PBE was carried out for a relaxed structure of Be2AuSe.

E_form (uncorrected)	253	meV/atom
total moment	0.000	μB/cell
E	-3.301	eV per atom

Cell: 3.169 3.169 5.640 Å, 90.00 90.00 90.00°
Space group P4/mmm (No. 123)
Inequivalent atoms, fractional coordinates:
Be (0.000, 0.000, 0.232) (multiplicity 2)
Au (0.500, 0.500, 0.000) (multiplicity 1)
Se (0.500, 0.500, 0.500) (multiplicity 1)

=====

(5)
A plane-wave DFT calculation with GGA-PBE was carried out for a relaxed structure of Nd2Ho8Tm.

total moment	0.000	μB/cell
E	-4.443	eV per atom
energy of formation	0.16	eV/atom

Cell: 9.006 15.995 5.869 Å, 90.00 122.82 90.00°
Space group C2/m (No. 12)
Inequivalent atoms, fractional coordinates:
Nd (0.000, 0.193, 0.000) (multiplicity 4)
Ho (0.000, 0.293, 0.500) (multiplicity 4)
Ho (0.073, 0.000, 0.297) (multiplicity 4)
Ho (0.213, 0.385, 0.173) (multiplicity 8)
Tm (0.000, 0.500, 0.500) (multiplicity 2)

=====

(6)
A plane-wave DFT calculation with GGA-PBE was carried out for a relaxed structure of Pr3Tm3Sc.

total moment	0.004	μB/cell
E	-4.826	eV per atom
energy of formation	0.04	eV/atom

Cell: 9.5107 9.5107 5.7180 Å, 90.00 90.00 120.00°
Space group P6_3/m (No. 176)
Inequivalent atoms, fractional coordinates:
Pr (0.0554, 0.2494, 0.2500) (multiplicity 6)
Tm (0.0971, 0.4835, 0.7500) (multiplicity 6)
Sc (0.3333, 0.6667, 0.2500) (multiplicity 2)

=====

(7)
A plane-wave DFT calculation with GGA-PBE was carried out for a relaxed structure of MgGa2CuAg.

total moment	0.000	μB/cell
E	-2.756	eV per atom
energy of formation	0.16	eV/atom

Cell: 4.596 4.596 4.930 Å, 90.00 90.00 90.00°
Space group P4/mmm (No. 123)
Inequivalent atoms, fractional coordinates:
Mg (0.000, 0.000, 0.000) (multiplicity 1)
Ga (0.000, 0.500, 0.500) (multiplicity 2)
Cu (0.000, 0.000, 0.500) (multiplicity 1)
Ag (0.500, 0.500, 0.000) (multiplicity 1)

=====

(8)
A plane-wave DFT calculation with GGA-PBE was carried out for a relaxed structure of TaTc.

total moment	0.000	μB/cell
E	-11.161	eV per atom
energy of formation	-0.05	eV/atom

Cell: 3.764 3.764 9.383 Å, 90.00 90.00 90.00°
Space group I4_1/amd (No. 141, origin choice 2)
Inequivalent atoms, fractional coordinates:
Ta (0.000, 0.250, 0.375) (multiplicity 4)
Tc (0.000, 0.250, 0.875) (multiplicity 4)